VASP calculation (meta-GGA SCAN) on Mg2CrSi at its PBEsol-relaxed geometry.

a = 3.1208 Å, b = 3.1208 Å, c = 6.8815 Å
α = 90.00°, β = 90.00°, γ = 90.00°
Space group P4mm (No. 99)
Asymmetric unit:
Mg  0.0000  0.0000  0.0000 x1
Mg  0.5000  0.5000  0.3281 x1
Cr  0.5000  0.5000  0.7356 x1
Si  0.0000  0.0000  0.6067 x1

N(E_F) (states/eV/atom): 0.46
Total moment (μB/atom): 0.45
E_tot (eV/atom): -9.515
ΔE_f (raw) (eV/atom): 0.07